First-principles (PBE) data for crystalline FePdPt4 at its relaxed geometry, as listed in the Alexandria database.

a = 2.7576 Å, b = 2.7576 Å, c = 11.8818 Å
α = 90.00°, β = 90.00°, γ = 90.00°
Closest atoms and distances in Å follow each position.
Element x y z (fractional)
Fe  0.0000  0.0000  0.0000  8 Pt 2.67, 4 Fe 2.76
Pd  0.5000  0.5000  0.5000  4 Pd 2.76, 8 Pt 2.81
Pt  0.0000  0.0000  0.3293  8 Pt 2.76-2.86, 4 Pd 2.81
Pt  0.0000  0.0000  0.6707  8 Pt 2.76-2.86, 4 Pd 2.81
Pt  0.5000  0.5000  0.1531  4 Fe 2.67, 8 Pt 2.76-2.86
Pt  0.5000  0.5000  0.8469  4 Fe 2.67, 8 Pt 2.76-2.86

Space-group type ... P4/mmm (123)
Energy ... -38.67 eV per cell
Total moment ... 3.63 μB per cell
Relative energy among the computed polymorphs ... 0.0 meV/atom
DFT formation energy ... -141 meV/atom

First-principles (PBE) data for crystalline PaNiH at its relaxed geometry, as listed in the Alexandria database.

a = 3.7132 Å, b = 3.7132 Å, c = 3.7132 Å
α = 67.70°, β = 67.70°, γ = 67.70°
Closest atoms and distances in Å follow each position.
Element x y z (fractional)
Pa  0.0000  0.0000  0.0000  4 H 2.42-2.44
Ni  0.5050  0.5050  0.5050  1 H 1.78
H  0.7138  0.7138  0.7138  1 Ni 1.78

Space-group type ... R3m (160)
Energy ... -19.18 eV per cell
Total moment ... 0.00 μB per cell
Relative energy among the computed polymorphs ... 101.4 meV/atom

First-principles (PBE) data for crystalline MnOs2Au at its relaxed geometry, as listed in the Alexandria database.

a = 5.2210 Å, b = 5.2210 Å, c = 5.2210 Å
α = 146.60°, β = 128.97°, γ = 62.37°
Closest atoms and distances in Å follow each position.
Element x y z (fractional)
Mn  0.0000  0.0000  0.0000  6 Os 2.60-2.71, 2 Au 2.67
Os  0.2380  0.7380  0.5000  2 Mn 2.60, 2 Os 2.64, 4 Au 2.71
Os  0.4813  0.4813  0.0000  2 Os 2.64, 4 Mn 2.71, 2 Au 2.85
Au  0.7530  0.2530  0.5000  2 Mn 2.67, 6 Os 2.71-2.85

Space-group type ... Imm2 (44)
Energy ... -32.79 eV per cell
Total moment ... 3.61 μB per cell
Relative energy among the computed polymorphs ... 303.6 meV/atom
DFT formation energy ... 530 meV/atom

First-principles (PBE) data for crystalline Pa2Ga3Si at its relaxed geometry, as listed in the Alexandria database.

a = 4.0179 Å, b = 4.1873 Å, c = 7.2063 Å
α = 90.00°, β = 90.00°, γ = 90.00°
Closest atoms and distances in Å follow each position.
Element x y z (fractional)
Pa  0.0000  0.0000  0.0000  2 Si 3.07, 10 Ga 3.12-3.20
Pa  0.0000  0.5000  0.4837  8 Ga 3.08-3.17, 4 Si 3.13
Ga  0.5000  0.0000  0.6548  1 Si 2.39, 2 Ga 2.42
Ga  0.5000  0.5000  0.1605  2 Si 2.40, 1 Ga 2.42
Ga  0.5000  0.5000  0.8246  3 Ga 2.42
Si  0.5000  0.0000  0.3226  3 Ga 2.39-2.40

Space-group type ... Pmm2 (25)
Energy ... -35.65 eV per cell
Formation energy (no corrections) ... -358.4 meV per atom
Total moment ... 0.00 μB per cell

First-principles (PBE) data for crystalline YPOs at its relaxed geometry, as listed in the Alexandria database.

a = 5.8952 Å, b = 5.8952 Å, c = 5.8952 Å
α = 149.71°, β = 149.71°, γ = 43.37°
Closest atoms and distances in Å follow each position.
Element x y z (fractional)
Y  0.0000  0.0000  0.0000  5 P 3.07-3.31, 4 Y 3.08, 5 Os 3.09-3.29
P  0.3025  0.3025  0.0000  4 Os 2.45
Os  0.6999  0.6999  0.0000  4 P 2.45

Space-group type ... I4mm (107)
Energy ... -24.47 eV per cell
Total moment ... 0.00 μB per cell
DFT formation energy ... -457 meV/atom

First-principles (PBE) data for crystalline Th2SnIr at its relaxed geometry, as listed in the Alexandria database.

a = 10.0406 Å, b = 10.0406 Å, c = 10.0406 Å
α = 23.19°, β = 23.19°, γ = 23.19°
Closest atoms and distances in Å follow each position.
Element x y z (fractional)
Th  0.1116  0.1116  0.1116  3 Ir 2.84
Th  0.8884  0.8884  0.8884  3 Ir 2.84
Sn  0.0000  0.0000  0.0000  2 Th 3.27
Ir  0.5000  0.5000  0.5000  6 Th 2.84

Space-group type ... R-3m (166)
Energy ... -28.94 eV per cell
Total moment ... 0.00 μB per cell
Relative energy among the computed polymorphs ... 376.2 meV/atom
DFT formation energy ... -309 meV/atom